SrSc2In | PBEsol | relaxed

Calculated values
Energy relative to the elements = -0.0242 eV per atom

Lattice parameters (Å, degrees): 4.6818 4.6818 9.5349 90.00 90.00 90.00
Space group I-4m2 (No. 119)
Asymmetric unit:
Sr 0.0000 0.0000 0.0000
Sc 0.0000 0.0000 0.5000
Sc 0.0000 0.5000 0.7500
In 0.0000 0.5000 0.2500